# CoReAsO GGA+U relaxed
# energy: -6.965 eV per atom
# volume: 140.72 Å³/cell
# magnetic moment: 5.83 μB/cell
data_CoReAsO
_chemical_formula_sum 'Co2 Re2 As2 O2'
_cell_length_a 3.802
_cell_length_b 3.802
_cell_length_c 9.734
_cell_angle_alpha 90.00
_cell_angle_beta 90.00
_cell_angle_gamma 90.00
_space_group_name_H-M_alt 'P 4/n m m'
_space_group_IT_number 129
loop_
_space_group_symop_operation_xyz
'x,y,z'
'-x,-y,-z'
'-y+1/2,x,z'
'y+1/2,-x,-z'
'-x+1/2,-y+1/2,z'
'x+1/2,y+1/2,-z'
'y,-x+1/2,z'
'-y,x+1/2,-z'
'x+1/2,-y,-z'
'-x+1/2,y,z'
'-y,-x,-z'
'y,x,z'
'-x,y+1/2,-z'
'x,-y+1/2,z'
'y+1/2,x+1/2,-z'
'-y+1/2,-x+1/2,z'
loop_
_atom_site_label
_atom_site_type_symbol
_atom_site_fract_x
_atom_site_fract_y
_atom_site_fract_z
Co1 Co 0.250 0.250 0.051
Re1 Re 0.250 0.750 0.500
As1 As 0.250 0.250 0.680
O1 O 0.250 0.750 0.000